Entry 1:
Here is a relaxed LiNp2ScS5 crystal from Alexandria. Energies are from PBE.

```
LiNp2ScS5
1.0
-1.250 3.241 -1.573
-6.781 -4.612 0.507
-2.117 4.261 10.458
Li Np Sc S
2 4 2 10
Cartesian
-3.301 5.472 9.272
-7.752 -0.757 4.598
-7.829 2.819 7.405
-3.014 2.269 7.068
-2.543 0.524 3.099
-6.843 0.037 0.892
-6.130 2.003 4.374
-2.999 -1.163 -0.013
-7.494 2.085 10.247
-5.226 4.137 8.051
-8.992 0.335 7.833
-5.603 1.137 6.793
-8.454 1.377 4.930
-3.708 2.929 4.358
-5.366 -0.351 3.540
-1.263 2.773 2.093
-4.183 1.026 0.815
-0.933 -0.016 0.709
```

Calculated values
Density ... 6.5 Mg/m³

Entry 2:
Here is a relaxed LiNpSeS crystal from Alexandria. Energies are from PBE.

```
LiNpSeS
1.0
-0.757 2.434 3.098
-3.707 0.223 1.516
-0.135 -3.780 5.534
Li Np Se S
1 1 1 1
Cartesian
-0.139 -3.764 5.521
-2.279 -0.631 5.134
-1.163 -0.236 2.499
-3.452 -0.832 7.602
```

Calculated values
Density ... 6.7 Mg/m³

Entry 3:
Here is a relaxed LiNp2Se2S2 crystal from Alexandria. Energies are from PBE.

```
LiNp2Se2S2
1.0
3.759 0.000 0.000
1.879 6.728 0.739
0.000 2.491 6.817
Li Np Se S
1 2 2 2
Cartesian
0.000 0.000 0.000
3.759 2.910 3.161
1.879 6.309 4.395
3.759 8.235 5.779
1.879 0.985 1.777
3.759 4.616 5.265
1.879 4.604 2.290
```

Calculated values
Density ... 7.1 Mg/m³

Entry 4:
Here is a relaxed LiNpSeS2 crystal from Alexandria. Energies are from PBE.

```
LiNpSeS2
1.0
-1.834 2.151 -2.719
0.811 -2.724 -2.703
-5.647 -3.050 4.225
Li Np Se S
1 1 1 2
Cartesian
-4.904 -2.666 -1.631
-1.421 -0.770 0.350
-0.889 -0.491 -2.618
-3.980 -0.584 -0.606
-2.657 -3.021 -0.598
```

Calculated values
Density ... 5.8 Mg/m³

For the records above, the corresponding N(E_F) values read 31.72, 9.57, 13.79, 9.34 states/eV/cell.
For the records above, the corresponding size of the total moment values read 15.88, 4.00, 7.00, 3.57 μB per cell.
For the records above, the corresponding formation energy from raw total energies values read -1.493, -1.285, -1.210, -0.857 eV per atom.